Tc2Ru | PBE | relaxed

Calculated values
offset from the most stable computed form	355.0	meV per atom
DOS at the Fermi energy	13.44	states/eV/cell
magnetic moment	0.00	μB per atom
formation enthalpy at 0 K	0.31	eV per atom
calculated density	10.91	g cm⁻³

Cell: 5.0737 5.0737 8.1136 Å, 90.00 90.00 120.00°
Last column: nearest neighbours and their distance in Å.
Space group P6_3/mmc (No. 194)
One atom of each set of equivalent atoms:
Tc 0.0000 0.0000 0.0000  6 Tc 2.55
Tc 0.1750 0.3500 0.2500  6 Tc 2.41-2.66
Ru 0.3333 0.6667 0.5766  1 Ru 2.81, 12 Tc 2.90-2.99